Record 1
LaTlFeOs2: optimized geometry, PBE.

a = 4.6437 Å, b = 4.8348 Å, c = 4.6437 Å
α = 90.00°, β = 90.00°, γ = 90.00°
Sites, in units of the cell vectors:
Os1 0.0000 0.0000 0.5000
Os2 0.5000 0.0000 0.0000
Fe1 0.0000 0.0000 0.0000
Tl1 0.0000 0.5000 0.0000
La1 0.5000 0.5000 0.5000

Computed properties:
crystal system: tetragonal

Record 2
TbGdCuAg: optimized geometry, PBE.

a = 5.0765 Å, b = 5.0765 Å, c = 5.0765 Å
α = 60.00°, β = 60.00°, γ = 60.00°
Sites, in units of the cell vectors:
Tb1 0.0000 0.0000 0.0000
Gd1 0.5000 0.5000 0.5000
Cu1 0.2500 0.2500 0.2500
Ag1 0.7500 0.7500 0.7500

Computed properties:
crystal system: cubic

Record 3
LaZrIn2: optimized geometry, PBE.

a = 5.2951 Å, b = 5.2951 Å, c = 5.2951 Å
α = 60.00°, β = 60.00°, γ = 60.00°
Sites, in units of the cell vectors:
In1 0.2500 0.2500 0.2500
In2 0.0000 0.0000 0.0000
Zr1 0.7500 0.7500 0.7500
La1 0.5000 0.5000 0.5000

Computed properties:
crystal system: cubic

Record 4
CdBi2: optimized geometry, PBE.

a = 3.3965 Å, b = 5.5656 Å, c = 11.3826 Å
α = 104.15°, β = 98.58°, γ = 90.00°
Sites, in units of the cell vectors:
Bi1 0.1755 0.4255 0.3510
Bi2 0.8245 0.5745 0.6490
Bi3 0.0332 0.2832 0.0664
Bi4 0.9668 0.7168 0.9336
Cd1 0.3165 0.0665 0.6329
Cd2 0.6835 0.9335 0.3671

Computed properties:
crystal system: orthorhombic
excess energy over the best structure of this formula in the dataset: 23 meV per atom

Record 5
KTl2Rh: optimized geometry, PBE.

a = 4.5606 Å, b = 4.5606 Å, c = 7.1260 Å
α = 71.47°, β = 71.47°, γ = 59.90°
Sites, in units of the cell vectors:
K1 0.7500 0.7500 0.7500
Tl1 0.5353 0.5353 0.3950
Tl2 0.9647 0.9647 0.1050
Rh1 0.2500 0.2500 0.2500

Computed properties:
crystal system: monoclinic

Record 6
CeGe2Au4: optimized geometry, PBE.

a = 4.4903 Å, b = 4.5070 Å, c = 7.3553 Å
α = 107.84°, β = 90.00°, γ = 90.00°
Sites, in units of the cell vectors:
Ge1 0.5000 0.4120 0.8239
Ge2 0.5000 0.5880 0.1761
Au1 0.0000 0.3201 0.6402
Au2 0.5000 0.1767 0.3535
Au3 0.0000 0.6799 0.3598
Au4 0.5000 0.8233 0.6465
Ce1 0.0000 0.0000 0.0000

Computed properties:
crystal system: orthorhombic

We obtain total energy values of -6.8675, -6.6608, -4.6124, -2.7603, -3.2711, -4.4029 eV/atom for the records listed above, in that order.
We obtain formation enthalpy at 0 K values of 776, -246, 126, 132, 24, -363 meV per atom for the records listed above, in that order.
We obtain density values of 12.4, 8.8, 7.3, 8.5, 7.7, 12.6 g/cm³ for the records listed above, in that order.